Record 1
Re2PtCl: relaxed, PBE.

Properties
V in Å³ per atom: 15.16
Uncorrected formation energy in eV per formula unit: 2.30
Size of the total moment in μB per cell: 0.0
N(E_F) in states/eV/f.u.: 4.91

POSCAR file:
```
Re2PtCl
1.0
8.800 -0.011 -0.006
8.343 2.798 -0.006
8.343 1.357 2.447
Cl Pt Re
1 1 2
Direct
0.250 0.250 0.250
0.750 0.750 0.750
0.998 0.998 0.998
0.502 0.502 0.502
```

Record 2
ZnCuRe2: relaxed, PBE.

Properties
V in Å³ per atom: 14.17
Size of the total moment in μB per cell: 0.0
Calculated total energy in eV/atom: -7.173
N(E_F) in states/eV/f.u.: 2.85

POSCAR file:
```
ZnCuRe2
1.0
2.605 0.000 0.000
0.000 2.605 0.000
0.000 0.000 8.351
Cu Re Zn
1 2 1
Direct
0.500 0.500 0.750
0.000 0.000 0.994
0.000 0.000 0.506
0.500 0.500 0.250
```

Record 3
MnAgBr2: relaxed, PBE.

Properties
V in Å³ per atom: 24.61
Uncorrected formation energy in eV per formula unit: 0.21
Size of the total moment in μB per cell: 4.5
N(E_F) in states/eV/f.u.: 2.11

POSCAR file:
```
MnAgBr2
1.0
-1.917 2.629 2.164
-5.595 -2.310 -2.150
-0.102 -2.535 2.990
Ag Br Mn
1 2 1
Direct
0.000 0.500 0.500
0.000 0.000 0.000
0.500 0.500 0.000
0.500 0.000 0.500
```

Record 4
Th4In2Tc: relaxed, PBE.

Properties
V in Å³ per atom: 31.70
Size of the total moment in μB per cell: 0.0
Calculated total energy in eV/atom: -6.447
N(E_F) in states/eV/f.u.: 7.53

POSCAR file:
```
Th4In2Tc
1.0
3.844 0.000 0.000
0.000 8.491 1.412
0.000 -2.568 6.370
Th In Tc
4 2 1
Direct
0.500 0.079 0.800
0.000 0.412 0.198
0.500 0.064 0.343
0.000 0.731 0.946
0.500 0.427 0.662
0.500 0.716 0.480
0.000 0.071 0.071
```

Record 5
SmTmCo2: relaxed, PBE.

Properties
V in Å³ per atom: 20.22
Size of the total moment in μB per cell: 0.4
Calculated total energy in eV/atom: -6.028
N(E_F) in states/eV/f.u.: 4.29

POSCAR file:
```
SmTmCo2
1.0
-1.945 0.945 3.199
4.433 -1.356 3.095
2.536 7.054 -0.541
Sm Tm Co
2 2 4
Direct
0.000 0.133 0.676
0.000 0.867 0.176
0.500 0.369 0.320
0.500 0.631 0.820
0.000 0.638 0.530
0.000 0.362 0.030
0.500 0.836 0.474
0.500 0.164 0.974
```

Record 6
La2MgURh6: relaxed, PBE.

Properties
V in Å³ per atom: 20.54
Size of the total moment in μB per cell: 0.0
Calculated total energy in eV/atom: -7.259
N(E_F) in states/eV/f.u.: 6.26

POSCAR file:
```
La2MgURh6
1.0
-3.269 -6.102 -0.526
1.684 -3.600 4.325
-5.769 -3.957 4.293
La Mg U Rh
2 1 1 6
Direct
0.292 0.813 0.509
0.708 0.187 0.491
0.000 0.000 0.000
0.500 0.500 0.000
0.264 0.872 0.155
0.756 0.611 0.069
0.234 0.354 0.471
0.736 0.128 0.845
0.244 0.389 0.931
0.766 0.646 0.529
```

Record 7
InCu2SiIr: relaxed, PBE.

Properties
V in Å³ per atom: 20.81
Uncorrected formation energy in eV per formula unit: 8.17
Size of the total moment in μB per cell: 0.0
N(E_F) in states/eV/f.u.: 5.05

POSCAR file:
```
InCu2SiIr
1.0
-1.470 -0.044 4.382
2.647 -3.999 0.848
3.591 2.638 1.231
Si Ir Cu In
1 1 2 1
Direct
0.000 0.500 0.000
0.500 0.500 0.500
0.000 0.000 0.500
0.500 0.000 0.000
0.000 0.000 0.000
```

Record 8
LuZrTc2: relaxed, PBE.

Properties
V in Å³ per atom: 18.49
Size of the total moment in μB per cell: 0.0
Calculated total energy in eV/atom: -8.598
N(E_F) in states/eV/f.u.: 5.85

POSCAR file:
```
LuZrTc2
1.0
-2.094 -2.284 1.195
-0.995 -0.704 -3.090
4.801 -4.656 -0.486
Lu Tc Zr
1 2 1
Direct
0.500 0.500 0.500
0.000 0.000 0.764
0.000 0.000 0.236
0.500 0.500 0.000
```

Record 9
AlTl2Ru2: relaxed, PBE.

Properties
V in Å³ per atom: 18.55
Size of the total moment in μB per cell: 0.0
Calculated total energy in eV/atom: -5.233
N(E_F) in states/eV/f.u.: 2.25

POSCAR file:
```
AlTl2Ru2
1.0
-2.523 -4.959 3.497
3.286 -4.300 -3.727
3.335 0.208 2.700
Ru Tl Al
4 4 2
Direct
0.357 0.857 0.000
0.857 0.643 0.000
0.643 0.143 0.000
0.143 0.357 0.000
0.167 0.667 0.500
0.667 0.833 0.500
0.833 0.333 0.500
0.333 0.167 0.500
0.000 0.000 0.000
0.500 0.500 0.000
```

Record 10
SmErTlPb: relaxed, PBE.

Properties
V in Å³ per atom: 28.39
Size of the total moment in μB per cell: 0.0
Calculated total energy in eV/atom: -4.200
N(E_F) in states/eV/f.u.: 2.89

POSCAR file:
```
SmErTlPb
1.0
-0.396 4.825 -2.471
-4.514 1.288 -2.740
-3.378 3.784 1.953
Pb Tl Sm Er
1 1 1 1
Direct
0.000 0.000 0.000
0.500 0.500 0.500
0.750 0.750 0.750
0.250 0.250 0.250
```

Record 11
RbLiU2N5: relaxed, PBE.

Properties
V in Å³ per atom: 14.23
Uncorrected formation energy in eV per formula unit: -6.13
Size of the total moment in μB per cell: 1.7
N(E_F) in states/eV/f.u.: 3.36

POSCAR file:
```
RbLiU2N5
1.0
6.457 0.000 0.000
0.000 6.457 0.000
-3.228 -3.228 6.142
Rb Li U N
2 2 4 10
Direct
0.250 0.250 0.500
0.750 0.750 0.500
0.250 0.750 0.500
0.750 0.250 0.500
0.168 0.332 0.000
0.668 0.168 0.000
0.332 0.832 0.000
0.832 0.668 0.000
0.954 0.454 0.213
0.741 0.241 0.787
0.046 0.546 0.787
0.241 0.046 0.787
0.546 0.741 0.787
0.759 0.954 0.213
0.454 0.259 0.213
0.259 0.759 0.213
0.500 0.500 0.000
0.000 0.000 0.000
```

Record 12
Dy5Ge2Sb: relaxed, PBE.

Properties
V in Å³ per atom: 26.00
Uncorrected formation energy in eV per formula unit: -6.38
Size of the total moment in μB per cell: 2.4
N(E_F) in states/eV/f.u.: 9.31

POSCAR file:
```
Dy5Ge2Sb
1.0
0.236 -1.108 -7.791
-4.988 -6.050 0.709
-2.812 7.769 2.788
Dy Ge Sb
10 4 2
Direct
0.513 0.702 0.716
0.798 0.987 0.284
0.000 0.000 0.000
0.500 0.500 0.000
0.202 0.013 0.716
0.702 0.202 0.716
0.013 0.513 0.716
0.298 0.798 0.284
0.987 0.487 0.284
0.487 0.298 0.284
0.147 0.353 0.000
0.647 0.147 0.000
0.353 0.853 0.000
0.853 0.647 0.000
0.750 0.750 0.500
0.250 0.250 0.500
```